{
  "formula": "InMoRu2",
  "functional": "GGA-PBE",
  "state": "optimized geometry",
  "lattice_angstrom": [[-1.4261, 0.3071, -4.2636], [-1.6437, -3.6361, -2.0935], [-4.4014, -0.2681, -0.9284]],
  "species": ["In", "Ru", "Ru", "Mo"],
  "fractional_positions": [[0.5000, 0.5000, 0.5000], [0.7500, 0.7500, 0.7500], [0.0000, 0.0000, 0.0000], [0.2500, 0.2500, 0.2500]],
  "e_form_ev_per_atom": 0.44,
  "energy_ev_per_atom": -7.588
}